GGA-PBEsol ZrRe3Si, relaxed; ΔE_f (raw) = 692.3 meV per atom; magnetization = 0.00 μB/f.u.; V = 17.1 Å³/atom; density = 13.16 g cm⁻³
1.0
4.406 0.000 0.000
0.000 4.406 0.000
0.000 0.000 4.406
Zr Re Si
1 3 1
Direct
0.000 0.000 0.000
0.000 0.500 0.500
0.500 0.000 0.500
0.500 0.500 0.000
0.500 0.500 0.500

---

GGA-PBEsol Zr2ReSi, relaxed; ΔE_f (raw) = -330.0 meV per atom; magnetization = 0.00 μB/f.u.; V = 17.3 Å³/atom; density = 9.53 g cm⁻³
1.0
-2.159 2.159 3.707
2.159 -2.159 3.707
2.159 2.159 -3.707
Zr Re Si
2 1 1
Direct
0.250 0.750 0.500
0.750 0.250 0.500
0.000 0.000 0.000
0.500 0.500 0.000

---

GGA-PBEsol Zr2ReSi2, relaxed; ΔE_f (raw) = -842.5 meV per atom; magnetization = 0.00 μB/f.u.; V = 16.4 Å³/atom; density = 8.63 g cm⁻³
1.0
6.506 0.000 0.000
0.000 6.506 0.000
0.000 0.000 3.862
Zr Re Si
4 2 4
Direct
0.173 0.327 0.000
0.327 0.827 0.000
0.673 0.173 0.000
0.827 0.673 0.000
0.000 0.000 0.500
0.500 0.500 0.500
0.131 0.631 0.500
0.369 0.131 0.500
0.631 0.869 0.500
0.869 0.369 0.500

---

GGA-PBEsol Sr3ReSn, relaxed; formation energy from the elements = 702.2 meV/atom; magnetization = 0.00 μB/f.u.; V = 35.1 Å³/atom; density = 5.37 g cm⁻³
1.0
5.598 0.000 0.000
0.000 5.598 0.000
0.000 0.000 5.598
Sr Re Sn
3 1 1
Direct
0.000 0.000 0.500
0.000 0.500 0.000
0.500 0.000 0.000
0.000 0.000 0.000
0.500 0.500 0.500

---

GGA-PBEsol SrReSn3, relaxed; formation energy from the elements = 160.9 meV/atom; magnetization = 0.17 μB/f.u.; V = 28.0 Å³/atom; density = 7.46 g cm⁻³
1.0
5.195 0.000 0.000
0.000 5.195 0.000
0.000 0.000 5.195
Sr Re Sn
1 1 3
Direct
0.000 0.000 0.000
0.500 0.500 0.500
0.000 0.500 0.500
0.500 0.000 0.500
0.500 0.500 0.000

---

GGA-PBEsol ZnReTcSn2, relaxed; formation energy from the elements = 1142.6 meV/atom; magnetization = 1.64 μB/f.u.; V = 24.6 Å³/atom; density = 7.92 g cm⁻³
1.0
5.127 0.000 0.000
0.000 5.127 0.000
0.000 0.000 4.682
Zn Re Tc Sn
1 1 1 2
Direct
0.000 0.000 0.000
0.500 0.500 0.500
0.500 0.500 0.000
0.000 0.500 0.500
0.500 0.000 0.500

---

GGA-PBEsol ReSnTe3, relaxed; ΔE_f (raw) = 1704.1 meV per atom; magnetization = 4.90 μB/f.u.; V = 34.3 Å³/atom; density = 6.66 g cm⁻³
1.0
5.554 0.000 0.000
0.000 5.554 0.000
0.000 0.000 5.554
Re Sn Te
1 1 3
Direct
0.000 0.000 0.000
0.500 0.500 0.500
0.000 0.500 0.500
0.500 0.000 0.500
0.500 0.500 0.000

---

GGA-PBEsol ZnReSnTe2, relaxed; ΔE_f (raw) = 1656.9 meV per atom; magnetization = 4.35 μB/f.u.; V = 33.5 Å³/atom; density = 6.20 g cm⁻³
1.0
5.677 0.000 0.000
0.000 5.677 0.000
0.000 0.000 5.196
Zn Re Sn Te
1 1 1 2
Direct
0.000 0.000 0.000
0.500 0.500 0.000
0.500 0.500 0.500
0.000 0.500 0.500
0.500 0.000 0.500

---

GGA-PBEsol TlRe2Sn, relaxed; formation energy from the elements = 988.1 meV/atom; magnetization = 0.00 μB/f.u.; V = 17.3 Å³/atom; density = 16.67 g cm⁻³
1.0
0.000 3.260 3.260
3.260 0.000 3.260
3.260 3.260 0.000
Tl Re Sn
1 2 1
Direct
0.000 0.000 0.000
0.250 0.250 0.250
0.750 0.750 0.750
0.500 0.500 0.500

---

GGA-PBEsol Y2ReSnW, relaxed; formation energy from the elements = 1879.1 meV/atom; magnetization = 2.80 μB/f.u.; V = 28.1 Å³/atom; density = 7.88 g cm⁻³
1.0
5.412 0.000 0.000
0.000 5.412 0.000
0.000 0.000 4.795
Y Re Sn W
2 1 1 1
Direct
0.000 0.500 0.000
0.500 0.000 0.000
0.000 0.000 0.500
0.000 0.000 0.000
0.500 0.500 0.500

---

GGA-PBEsol ZnRe3Sn, relaxed; formation energy from the elements = 1983.6 meV/atom; magnetization = 1.31 μB/f.u.; V = 18.0 Å³/atom; density = 13.69 g cm⁻³
1.0
4.483 0.000 0.000
0.000 4.483 0.000
0.000 0.000 4.483
Zn Re Sn
1 3 1
Direct
0.000 0.000 0.000
0.000 0.000 0.500
0.000 0.500 0.000
0.500 0.000 0.000
0.500 0.500 0.500

---

GGA-PBEsol SrRe4, relaxed; formation energy from the elements = 385.8 meV/atom; magnetization = 0.00 μB/f.u.; V = 19.5 Å³/atom; density = 14.15 g cm⁻³
1.0
-2.170 2.170 5.187
2.170 -2.170 5.187
2.170 2.170 -5.187
Sr Re
1 4
Direct
0.000 0.000 0.000
0.250 0.750 0.500
0.374 0.374 0.000
0.626 0.626 0.000
0.750 0.250 0.500

---

GGA-PBEsol SrRe2, relaxed; formation energy from the elements = 631.0 meV/atom; magnetization = 0.00 μB/f.u.; V = 20.5 Å³/atom; density = 12.41 g cm⁻³
1.0
-1.575 1.575 6.207
1.575 -1.575 6.207
1.575 1.575 -6.207
Sr Re
1 2
Direct
0.000 0.000 0.000
0.298 0.298 0.000
0.702 0.702 0.000

---

GGA-PBEsol SrRe, relaxed; formation energy from the elements = 2526.2 meV/atom; energy above the most stable polymorph in this dataset = 1925 meV/atom; magnetization = 3.06 μB/f.u.; V = 29.4 Å³/atom; density = 7.74 g cm⁻³
1.0
0.000 3.085 3.085
3.085 0.000 3.085
3.085 3.085 0.000
Sr Re
1 1
Direct
0.000 0.000 0.000
0.500 0.500 0.500

---

GGA-PBEsol SrRe2, relaxed; formation energy from the elements = 632.1 meV/atom; magnetization = 0.00 μB/f.u.; V = 24.1 Å³/atom; density = 10.57 g cm⁻³
1.0
1.516 -11.079 0.000
1.516 11.079 0.000
0.000 0.000 4.303
Sr Re
2 4
Direct
0.172 0.828 0.750
0.828 0.172 0.250
0.052 0.948 0.250
0.455 0.545 0.250
0.545 0.455 0.750
0.948 0.052 0.750

---

GGA-PBEsol SrRe2, relaxed; formation energy from the elements = 808.0 meV/atom; magnetization = 0.00 μB/f.u.; V = 22.3 Å³/atom; density = 11.39 g cm⁻³
1.0
5.563 -1.599 0.000
5.563 1.599 0.000
-0.244 0.000 7.537
Sr Re
2 4
Direct
0.000 0.000 0.000
0.238 0.238 0.701
0.344 0.344 0.313
0.607 0.607 0.354
0.742 0.742 0.108
0.977 0.977 0.503

---

GGA-PBEsol Sr2Re, relaxed; formation energy from the elements = 1111.0 meV/atom; magnetization = 0.00 μB/f.u.; V = 24.1 Å³/atom; density = 8.32 g cm⁻³
1.0
5.408 0.000 0.000
-2.704 4.684 0.000
0.000 0.000 2.850
Sr Re
2 1
Direct
0.333 0.667 0.000
0.667 0.333 0.000
0.000 0.000 0.500

---

GGA-PBEsol SrRe, relaxed; formation energy from the elements = 601.6 meV/atom; energy above the most stable polymorph in this dataset = 0 meV/atom; magnetization = 0.00 μB/f.u.; V = 27.5 Å³/atom; density = 8.26 g cm⁻³
1.0
1.623 -9.195 0.000
1.623 9.195 0.000
0.000 0.000 3.688
Sr Re
2 2
Direct
0.099 0.901 0.750
0.901 0.099 0.250
0.267 0.733 0.750
0.733 0.267 0.250

---

GGA-PBEsol SrTa4Re, relaxed; formation energy from the elements = 771.3 meV/atom; magnetization = 0.00 μB/f.u.; V = 19.4 Å³/atom; density = 14.25 g cm⁻³
1.0
0.000 3.874 3.874
3.874 0.000 3.874
3.874 3.874 0.000
Sr Ta Re
1 4 1
Direct
0.000 0.000 0.000
0.375 0.375 0.375
0.375 0.375 0.875
0.375 0.875 0.375
0.875 0.375 0.375
0.750 0.750 0.750

---

GGA-PBEsol Sr2TaRe, relaxed; formation energy from the elements = 1116.4 meV/atom; magnetization = 0.00 μB/f.u.; V = 22.4 Å³/atom; density = 10.07 g cm⁻³
1.0
0.000 3.549 3.549
3.549 0.000 3.549
3.549 3.549 0.000
Sr Ta Re
2 1 1
Direct
0.000 0.000 0.000
0.250 0.250 0.250
0.750 0.750 0.750
0.500 0.500 0.500